Li3Mn2CoO6: relaxed, PBE+U.

Cell and atoms, written as POSCAR:
```
Li3Mn2CoO6
1.0
5.059 -0.042 0.006
2.187 4.564 -0.006
1.451 0.351 4.874
O Li Co Mn
6 3 1 2
Cartesian
1.556 0.151 1.123
6.428 3.190 1.129
2.269 1.683 3.745
4.683 3.242 3.754
4.014 1.632 1.121
7.141 4.722 3.751
3.017 3.260 2.438
3.255 0.155 2.440
5.680 1.613 2.437
0.000 0.000 0.000
4.838 3.018 0.003
3.859 1.856 4.871
```

Output
* space group: P-1 (2)
* total DFT energy (no corrections): -75.32 eV for the cell shown